# ThZr2Ir

An optimized crystal structure of ThZr2Ir (PBE-GGA, the Alexandria database).

Output
energy of formation = -446 meV per atom
theoretical density = 10.5 g/cm³
Fermi-level density of states = 1.241 states/eV per atom
total moment = 0.0 μB per formula unit

a = 6.034 Å, b = 6.807 Å, c = 9.315 Å
α = 90.00°, β = 90.00°, γ = 90.00°
Sites, in units of the cell vectors:
Th 0.645 0.535 0.250
Th 0.855 0.035 0.250
Th 0.355 0.465 0.750
Th 0.145 0.965 0.750
Zr 0.145 0.687 0.055
Zr 0.355 0.187 0.445
Zr 0.855 0.313 0.555
Zr 0.645 0.813 0.945
Zr 0.855 0.313 0.945
Zr 0.645 0.813 0.555
Zr 0.145 0.687 0.445
Zr 0.355 0.187 0.055
Ir 0.097 0.388 0.250
Ir 0.403 0.888 0.250
Ir 0.903 0.612 0.750
Ir 0.597 0.112 0.750